1.
CsTlBr3 (GGA-PBE, optimized geometry); mass density = 4.04 Mg/m³; E_form (uncorrected) = -1.078 eV per atom; volume = 47.38 Å³ per atom
1.0
18.3837 0.0000 1.8530
7.1096 7.0507 -2.9390
-7.1096 7.0507 2.9390
Tl Br Cs
4 12 4
Direct
0.2500 0.8362 0.3362
0.7500 0.4904 0.9904
0.7500 0.1638 0.6638
0.2500 0.5096 0.0096
0.8961 0.3748 0.3802
0.5164 0.5966 0.8533
0.4172 0.3844 0.4237
0.4836 0.4034 0.1467
0.5828 0.6156 0.5763
0.0828 0.9237 0.8844
0.3961 0.1198 0.1252
0.9172 0.0763 0.1156
0.9836 0.3533 0.0966
0.6039 0.8802 0.8748
0.0164 0.6467 0.9034
0.1039 0.6252 0.6198
0.2820 0.9166 0.8814
0.2180 0.3814 0.4166
0.7180 0.0834 0.1186
0.7820 0.6186 0.5834

***

2.
TePd3 (GGA-PBE, optimized geometry); mass density = 10.80 Mg/m³; E_form (uncorrected) = -0.157 eV per atom; volume = 17.17 Å³ per atom; relative energy among the computed polymorphs = 0.0784 eV/atom
1.0
4.0951 0.0000 0.0000
0.0000 4.0951 0.0000
0.0000 0.0000 4.0951
Pd Te
3 1
Direct
0.5000 0.5000 0.0000
0.5000 0.0000 0.5000
0.0000 0.5000 0.5000
0.0000 0.0000 0.0000

***

| no. | calculated total energy (eV per atom) |
| --- | --- |
| 1 | -2.7255 |
| 2 | -4.8375 |